VASP calculation (PBE) on an optimized crystal structure of K2CrCd.

## Properties
SG: Pm (6)
Total moment (μB per formula unit): 5.01
Formation energy from the elements (eV/atom): 0.5082
Crystal system: monoclinic

Geometry as extended XYZ:
```
4
Lattice="5.0924 0.0000 0.0000 0.0000 5.0422 0.0000 -2.5421 0.0000 6.4463" Properties=species:S:1:pos:R:3 pbc="T T T"
K 0.0000 0.0000 0.0000
K 0.0010 2.5211 3.8873
Cr 2.5498 2.5211 1.2994
Cd 2.5418 0.0000 2.6163
```

VASP calculation (PBE) on an optimized crystal structure of KCr2Cd.

## Properties
SG: I-4m2 (119)
Total moment (μB per formula unit): 9.50
Formation energy from the elements (eV/atom): 1.0658
Crystal system: tetragonal

Geometry as extended XYZ:
```
4
Lattice="-2.3193 2.3193 4.6991 2.3193 -2.3193 4.6991 2.3193 2.3193 -4.6991" Properties=species:S:1:pos:R:3 pbc="T T T"
K 0.0000 0.0000 0.0000
Cr 0.0000 0.0000 4.6991
Cr 0.0000 2.3193 2.3496
Cd 2.3193 0.0000 2.3496
```

VASP calculation (PBE) on an optimized crystal structure of KCrCd2.

## Properties
SG: P4mm (99)
Total moment (μB per formula unit): 4.66
Formation energy from the elements (eV/atom): 0.4312
Crystal system: tetragonal

Geometry as extended XYZ:
```
4
Lattice="3.7276 0.0000 0.0000 0.0000 3.7276 0.0000 0.0000 0.0000 8.1783" Properties=species:S:1:pos:R:3 pbc="T T T"
K 0.0000 0.0000 0.0000
Cr 1.8638 1.8638 5.4936
Cd 0.0000 0.0000 4.3620
Cd 1.8638 1.8638 2.5378
```

VASP calculation (PBE) on an optimized crystal structure of KCr2Cd.

## Properties
SG: P2/m (10)
Total moment (μB per formula unit): 9.14
Formation energy from the elements (eV/atom): 0.8888
Crystal system: monoclinic

Geometry as extended XYZ:
```
4
Lattice="3.4110 0.0000 0.0000 0.0000 3.4104 0.0000 -0.0161 0.0000 8.8741" Properties=species:S:1:pos:R:3 pbc="T T T"
K 0.0000 0.0000 0.0000
Cr 1.6975 1.7052 2.8334
Cr 1.6974 1.7052 6.0408
Cd -0.0080 0.0000 4.4371
```

VASP calculation (PBE) on an optimized crystal structure of KCrCd2.

## Properties
SG: I-4m2 (119)
Total moment (μB per formula unit): 4.73
Formation energy from the elements (eV/atom): 0.5342
Crystal system: tetragonal

Geometry as extended XYZ:
```
4
Lattice="-2.4016 2.4016 4.5493 2.4016 -2.4016 4.5493 2.4016 2.4016 -4.5493" Properties=species:S:1:pos:R:3 pbc="T T T"
K 0.0000 0.0000 0.0000
Cr 0.0000 2.4016 2.2747
Cd 2.4016 0.0000 2.2747
Cd 0.0000 0.0000 4.5493
```

VASP calculation (PBE) on an optimized crystal structure of KCr2Cd.

## Properties
SG: Imm2 (44)
Total moment (μB per formula unit): 0.04
Formation energy from the elements (eV/atom): 0.7918
Crystal system: orthorhombic

Geometry as extended XYZ:
```
4
Lattice="-1.5389 2.8690 5.4243 1.5389 -2.8690 5.4243 1.5389 2.8690 -5.4243" Properties=species:S:1:pos:R:3 pbc="T T T"
K 0.0000 0.0000 0.0000
Cr 0.0000 0.0000 5.7794
Cr 0.0000 2.8690 2.2036
Cd 1.5389 0.0000 3.2144
```

VASP calculation (PBE) on an optimized crystal structure of KCr2Cd.

## Properties
SG: Cmmm (65)
Total moment (μB per formula unit): 9.25
Formation energy from the elements (eV/atom): 1.0737
Crystal system: orthorhombic

Geometry as extended XYZ:
```
4
Lattice="3.3302 -4.5381 0.0000 3.3302 4.5381 0.0000 0.0000 0.0000 3.1905" Properties=species:S:1:pos:R:3 pbc="T T T"
K 0.0000 0.0000 0.0000
Cr 1.6651 2.2690 1.5953
Cr 1.6651 -2.2690 1.5953
Cd 3.3302 0.0000 0.0000
```

VASP calculation (PBE) on an optimized crystal structure of KCr2Cd.

## Properties
SG: I4/mmm (139)
Total moment (μB per formula unit): 9.24
Formation energy from the elements (eV/atom): 1.0372
Crystal system: tetragonal

Geometry as extended XYZ:
```
4
Lattice="-2.3655 2.3655 4.3595 2.3655 -2.3655 4.3595 2.3655 2.3655 -4.3595" Properties=species:S:1:pos:R:3 pbc="T T T"
K 0.0000 0.0000 0.0000
Cr 2.3655 0.0000 2.1797
Cr 0.0000 2.3655 2.1797
Cd 0.0000 0.0000 4.3595
```

VASP calculation (PBE) on an optimized crystal structure of KCr2Cd.

## Properties
SG: I4_1/amd (141)
Total moment (μB per formula unit): 9.76
Formation energy from the elements (eV/atom): 1.1102
Crystal system: tetragonal

Geometry as extended XYZ:
```
8
Lattice="-2.7906 2.7906 9.7644 2.7906 -2.7906 9.7644 2.7906 2.7906 -9.7644" Properties=species:S:1:pos:R:3 pbc="T T T"
K 2.7906 1.3953 2.4411
K 0.0000 1.3953 7.3233
Cr 0.0000 0.0000 0.0000
Cr 1.3953 1.3953 -4.8822
Cr 1.3953 -1.3953 4.8822
Cr 0.0000 2.7906 0.0000
Cd 2.7906 -1.3953 7.3233
Cd 0.0000 4.1859 2.4411
```

VASP calculation (PBE) on an optimized crystal structure of K4CrCd.

## Properties
SG: F-43m (216)
Total moment (μB per formula unit): 5.17
Formation energy from the elements (eV/atom): 0.6501
Crystal system: cubic

Geometry as extended XYZ:
```
6
Lattice="0.0000 5.3299 5.3299 5.3299 0.0000 5.3299 5.3299 5.3299 0.0000" Properties=species:S:1:pos:R:3 pbc="T T T"
K 1.3362 1.3362 1.3362
K 3.9938 3.9938 1.3362
K 3.9938 1.3362 3.9938
K 1.3362 3.9938 3.9938
Cr 5.3299 5.3299 5.3299
Cd 7.9949 7.9949 7.9949
```

VASP calculation (PBE) on an optimized crystal structure of KCr2Cd.

## Properties
SG: Cm (8)
Total moment (μB per formula unit): 0.02
Formation energy from the elements (eV/atom): 0.6639
Crystal system: monoclinic

Geometry as extended XYZ:
```
4
Lattice="4.2626 -1.5026 0.0000 4.2626 1.5026 0.0000 -0.7557 0.0000 7.9030" Properties=species:S:1:pos:R:3 pbc="T T T"
K 0.0000 0.0000 0.0000
Cr 3.9112 0.0000 3.3579
Cr 6.3096 0.0000 2.7138
Cd 1.4734 0.0000 5.1702
```

VASP calculation (PBE) on an optimized crystal structure of KCrCd2.

## Properties
SG: Fm-3m (225)
Total moment (μB per formula unit): 4.95
Formation energy from the elements (eV/atom): 0.4851
Crystal system: cubic

Geometry as extended XYZ:
```
4
Lattice="0.0000 3.7649 3.7649 3.7649 0.0000 3.7649 3.7649 3.7649 0.0000" Properties=species:S:1:pos:R:3 pbc="T T T"
K 0.0000 0.0000 0.0000
Cr 3.7649 3.7649 3.7649
Cd 1.8824 1.8824 1.8824
Cd 5.6473 5.6473 5.6473
```

VASP calculation (PBE) on an optimized crystal structure of K2CrCd.

## Properties
SG: P4mm (99)
Total moment (μB per formula unit): 4.50
Formation energy from the elements (eV/atom): 0.4556
Crystal system: tetragonal

Geometry as extended XYZ:
```
4
Lattice="3.9177 0.0000 0.0000 0.0000 3.9177 0.0000 0.0000 0.0000 10.1982" Properties=species:S:1:pos:R:3 pbc="T T T"
K 0.0000 0.0000 0.0000
K 1.9588 1.9588 4.0368
Cr 1.9588 1.9588 7.4832
Cd 0.0000 0.0000 6.7079
```

VASP calculation (PBE) on an optimized crystal structure of KCrCd2.

## Properties
SG: Pm (6)
Total moment (μB per formula unit): 4.29
Formation energy from the elements (eV/atom): 0.3851
Crystal system: monoclinic

Geometry as extended XYZ:
```
4
Lattice="3.2232 0.0000 0.0000 0.0000 4.7237 0.0000 -0.0288 0.0000 7.6435" Properties=species:S:1:pos:R:3 pbc="T T T"
K 0.0000 0.0000 0.0000
Cr -0.0071 2.3619 4.7338
Cd 1.6032 2.3619 2.3114
Cd 1.6027 0.0000 4.3611
```

VASP calculation (PBE) on an optimized crystal structure of K2CrCd.

## Properties
SG: C2/m (12)
Total moment (μB per formula unit): 5.00
Formation energy from the elements (eV/atom): 0.6113
Crystal system: monoclinic

Geometry as extended XYZ:
```
4
Lattice="3.7419 -3.8248 0.0000 3.7419 3.8248 0.0000 -0.0078 0.0000 5.1334" Properties=species:S:1:pos:R:3 pbc="T T T"
K 1.8709 1.9124 0.0000
K 1.8709 -1.9124 0.0000
Cr -0.0039 0.0000 2.5667
Cd 3.7380 0.0000 2.5667
```

VASP calculation (PBE) on an optimized crystal structure of KCr2Cd.

## Properties
SG: P4mm (99)
Total moment (μB per formula unit): 0.62
Formation energy from the elements (eV/atom): 0.5177
Crystal system: tetragonal

Geometry as extended XYZ:
```
4
Lattice="3.1942 0.0000 0.0000 0.0000 3.1942 0.0000 0.0000 0.0000 8.6766" Properties=species:S:1:pos:R:3 pbc="T T T"
K 0.0000 0.0000 0.0000
Cr 0.0000 0.0000 4.8707
Cr 1.5971 1.5971 5.8801
Cd 1.5971 1.5971 2.9320
```

VASP calculation (PBE) on an optimized crystal structure of KMn2CrCd.

## Properties
SG: P4/mmm (123)
Total moment (μB per formula unit): 4.17
Formation energy from the elements (eV/atom): 1.0725
Crystal system: tetragonal

Geometry as extended XYZ:
```
5
Lattice="4.7540 0.0000 0.0000 0.0000 4.7540 0.0000 0.0000 0.0000 6.0769" Properties=species:S:1:pos:R:3 pbc="T T T"
K 0.0000 0.0000 0.0000
Mn 0.0000 2.3770 3.0385
Mn 2.3770 0.0000 3.0385
Cr 0.0000 0.0000 3.0385
Cd 2.3770 2.3770 0.0000
```

VASP calculation (PBE) on an optimized crystal structure of K2NaCrCd.

## Properties
SG: P4/mmm (123)
Total moment (μB per formula unit): 5.02
Formation energy from the elements (eV/atom): 0.7415
Crystal system: tetragonal

Geometry as extended XYZ:
```
5
Lattice="6.6198 0.0000 0.0000 0.0000 6.6198 0.0000 0.0000 0.0000 5.5965" Properties=species:S:1:pos:R:3 pbc="T T T"
K 0.0000 3.3099 0.0000
K 3.3099 0.0000 0.0000
Na 0.0000 0.0000 0.0000
Cr 0.0000 0.0000 2.7982
Cd 3.3099 3.3099 2.7982
```

VASP calculation (PBE) on an optimized crystal structure of K2CrCdNi.

## Properties
SG: P4/mmm (123)
Total moment (μB per formula unit): 5.35
Formation energy from the elements (eV/atom): 0.8412
Crystal system: tetragonal

Geometry as extended XYZ:
```
5
Lattice="6.0414 0.0000 0.0000 0.0000 6.0414 0.0000 0.0000 0.0000 4.9672" Properties=species:S:1:pos:R:3 pbc="T T T"
K 0.0000 3.0207 0.0000
K 3.0207 0.0000 0.0000
Cr 0.0000 0.0000 2.4836
Cd 3.0207 3.0207 2.4836
Ni 3.0207 3.0207 0.0000
```